[1]
The following is a PBE-GGA calculation of crystalline ScNb2O6 at its relaxed geometry, from the Open Quantum Materials Database.

Structure (POSCAR):
```
ScNb2O6
1.0
7.882 0.000 0.000
0.000 4.790 0.000
-0.415 0.000 5.696
O Sc Nb
12 2 4
direct
0.257 0.208 0.941
0.607 0.306 0.803
0.939 0.304 0.146
0.393 0.806 0.697
0.061 0.696 0.854
0.607 0.194 0.303
0.061 0.804 0.354
0.743 0.708 0.559
0.743 0.792 0.059
0.257 0.292 0.441
0.939 0.196 0.646
0.393 0.694 0.197
0.500 0.000 0.000
0.500 0.500 0.500
0.826 0.008 0.347
0.174 0.992 0.653
0.826 0.492 0.847
0.174 0.508 0.153
```

Properties
**Symmetry**: No. 14
**VASP energy**: -162.44 eV/cell
**Magnetic moment**: 0.01 μB/f.u.

***

[2]
The following is a PBE-GGA calculation of crystalline Nb2Si2O5 at its relaxed geometry, from the Open Quantum Materials Database.

Structure (POSCAR):
```
Nb2Si2O5
1.0
-2.671 6.409 2.018
-3.446 -1.742 0.970
1.346 -0.603 3.697
O Si Nb
5 2 2
direct
0.750 0.500 0.000
0.750 0.000 0.500
0.250 0.000 0.500
0.500 0.500 0.500
0.250 0.500 0.000
0.000 0.000 0.000
0.500 0.000 0.000
0.780 0.500 0.500
0.220 0.500 0.500
```

Properties
**Symmetry**: No. 123
**VASP energy**: -66.02 eV/cell
**Magnetic moment**: 0.00 μB/f.u.

***

[3]
The following is a PBE-GGA calculation of crystalline NbSi2O4 at its relaxed geometry, from the Open Quantum Materials Database.

Structure (POSCAR):
```
NbSi2O4
1.0
-2.048 5.970 1.512
4.425 -0.808 -4.678
-6.131 -1.884 -0.992
O Si Nb
8 4 2
direct
0.119 0.238 0.881
0.631 0.262 0.369
0.107 0.738 0.369
0.631 0.738 0.369
0.631 0.262 0.893
0.643 0.762 0.881
0.119 0.238 0.357
0.119 0.762 0.881
0.375 0.750 0.625
0.875 0.250 0.625
0.375 0.750 0.125
0.375 0.250 0.625
0.000 0.000 0.000
0.750 0.500 0.250
```

Properties
**Symmetry**: No. 141
**VASP energy**: -97.20 eV/cell
**Magnetic moment**: 0.00 μB/f.u.

***

[4]
The following is a PBE-GGA calculation of crystalline Nb2Si2O5 at its relaxed geometry, from the Open Quantum Materials Database.

Structure (POSCAR):
```
Nb2Si2O5
1.0
5.702 0.000 0.000
0.000 3.895 0.000
0.000 0.000 3.895
Si O Nb
2 5 2
direct
0.794 0.500 0.500
0.206 0.500 0.500
0.237 0.500 0.000
0.237 0.000 0.500
0.500 0.500 0.500
0.763 0.500 0.000
0.763 0.000 0.500
0.500 0.000 0.000
0.000 0.000 0.000
```

Properties
**Symmetry**: No. 123
**VASP energy**: -66.73 eV/cell
**Magnetic moment**: 1.66 μB/f.u.

***

[5]
The following is a PBE-GGA calculation of crystalline Sm5Nb2O12 at its relaxed geometry, from the Open Quantum Materials Database.

Structure (POSCAR):
```
Sm5Nb2O12
1.0
6.306 -2.978 0.000
6.306 2.978 0.000
-2.278 0.000 7.223
O Nb Sm
12 2 5
direct
0.898 0.429 0.083
0.429 0.898 0.083
0.405 0.904 0.575
0.904 0.405 0.575
0.499 0.499 0.192
0.096 0.595 0.425
0.501 0.501 0.808
0.000 0.000 0.808
0.571 0.102 0.917
0.102 0.571 0.917
0.595 0.096 0.425
0.000 0.000 0.192
0.759 0.241 0.000
0.241 0.759 0.000
0.303 0.303 0.638
0.308 0.308 0.173
0.000 0.000 0.500
0.697 0.697 0.362
0.692 0.692 0.827
```

Properties
**Symmetry**: No. 12
**VASP energy**: -164.03 eV/cell
**Magnetic moment**: 0.00 μB/f.u.

***

[6]
The following is a PBE-GGA calculation of crystalline Sm2NbO4 at its relaxed geometry, from the Open Quantum Materials Database.

Structure (POSCAR):
```
Sm2NbO4
1.0
4.751 -4.754 0.000
-4.751 0.000 -4.754
4.751 4.754 0.000
Sm O Nb
4 8 2
direct
0.875 0.250 0.625
0.375 0.750 0.625
0.375 0.250 0.625
0.375 0.750 0.125
0.631 0.738 0.369
0.119 0.762 0.881
0.642 0.762 0.881
0.631 0.262 0.369
0.108 0.738 0.369
0.631 0.262 0.892
0.119 0.238 0.881
0.119 0.238 0.358
0.000 0.000 0.000
0.750 0.500 0.250
```

Properties
**Symmetry**: No. 227
**VASP energy**: -113.90 eV/cell
**Magnetic moment**: 0.00 μB/f.u.

***

[7]
The following is a PBE-GGA calculation of crystalline SmNbO3 at its relaxed geometry, from the Open Quantum Materials Database.

Structure (POSCAR):
```
SmNbO3
1.0
-2.767 4.792 0.000
2.767 4.792 0.000
0.000 3.195 -5.209
Sm Nb O
2 2 6
direct
0.360 0.360 0.920
0.640 0.640 0.080
0.159 0.159 0.524
0.841 0.841 0.476
0.043 0.439 0.740
0.778 0.043 0.740
0.561 0.222 0.260
0.439 0.778 0.740
0.957 0.561 0.260
0.222 0.957 0.260
```

Properties
**Symmetry**: No. 148
**VASP energy**: -84.97 eV/cell
**Magnetic moment**: 0.18 μB/f.u.

***

[8]
The following is a PBE-GGA calculation of crystalline Nb2Sn2O5 at its relaxed geometry, from the Open Quantum Materials Database.

Structure (POSCAR):
```
Nb2Sn2O5
1.0
6.712 0.000 0.000
0.000 4.221 0.000
0.000 0.000 4.221
O Nb Sn
5 2 2
direct
0.797 0.500 0.000
0.797 0.000 0.500
0.203 0.000 0.500
0.203 0.500 0.000
0.500 0.500 0.500
0.500 0.000 0.000
0.000 0.000 0.000
0.204 0.500 0.500
0.796 0.500 0.500
```

Properties
**Symmetry**: No. 123
**VASP energy**: -58.58 eV/cell
**Magnetic moment**: 4.22 μB/f.u.

***

[9]
The following is a PBE-GGA calculation of crystalline Nb2Sn2O5 at its relaxed geometry, from the Open Quantum Materials Database.

Structure (POSCAR):
```
Nb2Sn2O5
1.0
-2.001 7.502 0.243
-1.827 -0.371 -3.588
-3.453 -0.981 1.860
Nb O Sn
2 5 2
direct
0.764 0.500 0.500
0.236 0.500 0.500
0.500 0.500 0.500
0.251 0.000 0.500
0.749 0.000 0.500
0.251 0.500 0.000
0.749 0.500 0.000
0.000 0.000 0.000
0.500 0.000 0.000
```

Properties
**Symmetry**: No. 123
**VASP energy**: -66.78 eV/cell
**Magnetic moment**: 0.01 μB/f.u.

***

[10]
The following is a PBE-GGA calculation of crystalline SrNb8O14 at its relaxed geometry, from the Open Quantum Materials Database.

Structure (POSCAR):
```
SrNb8O14
1.0
-4.952 0.820 7.771
6.518 -6.392 4.828
3.359 4.668 1.647
Nb O Sr
16 28 2
direct
0.626 0.577 0.267
0.385 0.164 0.000
0.626 0.577 0.733
0.880 0.836 0.500
0.874 0.077 0.733
0.885 0.336 0.000
0.374 0.423 0.267
0.374 0.423 0.733
0.126 0.923 0.267
0.115 0.664 0.000
0.620 0.336 0.500
0.874 0.077 0.267
0.120 0.164 0.500
0.126 0.923 0.733
0.615 0.836 0.000
0.380 0.664 0.500
0.261 0.321 0.000
0.262 0.086 0.256
0.500 0.500 0.000
0.239 0.821 0.000
0.500 0.000 0.000
0.739 0.679 0.000
0.238 0.586 0.744
0.738 0.914 0.744
0.000 0.000 0.000
0.496 0.246 0.254
0.762 0.414 0.256
0.000 0.500 0.000
0.004 0.746 0.254
0.262 0.086 0.744
0.766 0.651 0.500
0.266 0.849 0.500
0.996 0.254 0.746
0.496 0.246 0.746
0.761 0.179 0.000
0.762 0.414 0.744
0.238 0.586 0.256
0.738 0.914 0.256
0.996 0.254 0.254
0.504 0.754 0.254
0.734 0.151 0.500
0.004 0.746 0.746
0.234 0.349 0.500
0.504 0.754 0.746
0.000 0.500 0.500
0.500 0.000 0.500
```

Properties
**Symmetry**: No. 55
**VASP energy**: -415.31 eV/cell
**Magnetic moment**: 0.01 μB/f.u.

***

[11]
The following is a PBE-GGA calculation of crystalline Sr2Nb2O5 at its relaxed geometry, from the Open Quantum Materials Database.

Structure (POSCAR):
```
Sr2Nb2O5
1.0
-6.330 -4.116 0.033
1.883 -2.879 2.203
-1.188 1.855 3.440
O Nb Sr
5 2 2
direct
0.772 0.000 0.500
0.228 0.000 0.500
0.228 0.500 0.000
0.772 0.500 0.000
0.500 0.500 0.500
0.774 0.500 0.500
0.226 0.500 0.500
0.500 0.000 0.000
0.000 0.000 0.000
```

Properties
**Symmetry**: No. 123
**VASP energy**: -70.41 eV/cell
**Magnetic moment**: 0.01 μB/f.u.

***

[12]
The following is a PBE-GGA calculation of crystalline SrNb2O4 at its relaxed geometry, from the Open Quantum Materials Database.

Structure (POSCAR):
```
SrNb2O4
1.0
0.976 2.782 -8.146
-2.867 3.035 -7.590
0.731 5.342 2.617
Nb O Sr
4 8 2
direct
0.079 0.079 0.828
0.548 0.548 0.331
0.921 0.921 0.172
0.452 0.452 0.669
0.190 0.190 0.840
0.664 0.664 0.420
0.565 0.565 0.915
0.944 0.944 0.803
0.056 0.056 0.197
0.435 0.435 0.085
0.336 0.336 0.580
0.810 0.810 0.160
0.773 0.773 0.737
0.227 0.227 0.263
```

Properties
**Symmetry**: No. 12
**VASP energy**: -115.37 eV/cell
**Magnetic moment**: 0.00 μB/f.u.

***

[13]
The following is a PBE-GGA calculation of crystalline Sr4Nb4O11 at its relaxed geometry, from the Open Quantum Materials Database.

Structure (POSCAR):
```
Sr4Nb4O11
1.0
-3.234 -1.958 4.264
4.676 -0.650 3.177
-0.869 7.548 2.810
O Sr Nb
11 4 4
direct
0.464 0.007 0.248
0.278 0.722 0.519
0.220 0.221 0.524
0.719 0.281 0.474
0.548 0.010 0.751
0.034 0.487 0.248
0.233 0.228 0.978
0.286 0.715 0.977
0.778 0.779 0.479
0.773 0.768 0.024
0.950 0.501 0.751
0.493 0.486 0.749
0.498 0.522 0.246
0.003 0.982 0.756
0.002 0.014 0.251
0.998 0.500 0.500
0.500 0.001 0.500
0.993 0.491 0.000
0.509 0.007 0.000
```

Properties
**Symmetry**: No. 1
**VASP energy**: -150.93 eV/cell
**Magnetic moment**: 0.01 μB/f.u.

***

[14]
The following is a PBE-GGA calculation of crystalline SrNb2O6 at its relaxed geometry, from the Open Quantum Materials Database.

Structure (POSCAR):
```
SrNb2O6
1.0
5.342 0.000 0.000
-2.671 4.626 0.000
0.000 0.000 5.198
O Nb Sr
6 2 1
direct
0.622 0.000 0.713
0.378 0.000 0.287
0.378 0.378 0.713
0.000 0.378 0.287
0.622 0.622 0.287
0.000 0.622 0.713
0.667 0.333 0.500
0.333 0.667 0.500
0.000 0.000 0.000
```

Properties
**Symmetry**: No. 162
**VASP energy**: -76.31 eV/cell
**Magnetic moment**: 0.00 μB/f.u.

***

[15]
The following is a PBE-GGA calculation of crystalline SrNbO3 at its relaxed geometry, from the Open Quantum Materials Database.

Structure (POSCAR):
```
SrNbO3
1.0
1.565 -5.279 0.000
1.565 5.279 0.000
0.000 0.000 7.690
Nb O Sr
2 6 2
direct
0.000 0.000 0.000
0.000 0.000 0.500
0.630 0.370 0.052
0.630 0.370 0.448
0.944 0.056 0.250
0.056 0.944 0.750
0.370 0.630 0.948
0.370 0.630 0.552
0.254 0.746 0.250
0.746 0.254 0.750
```

Properties
**Symmetry**: No. 63
**VASP energy**: -79.63 eV/cell
**Magnetic moment**: 0.01 μB/f.u.

***

[16]
The following is a PBE-GGA calculation of crystalline SrNbO3 at its relaxed geometry, from the Open Quantum Materials Database.

Structure (POSCAR):
```
SrNbO3
1.0
6.217 0.000 0.000
0.000 5.672 0.000
0.000 0.000 8.862
O Sr Nb
12 4 4
direct
0.857 0.883 0.086
0.143 0.117 0.914
0.205 0.288 0.250
0.643 0.383 0.414
0.143 0.117 0.586
0.295 0.788 0.250
0.705 0.212 0.750
0.357 0.617 0.914
0.857 0.883 0.414
0.795 0.712 0.750
0.643 0.383 0.086
0.357 0.617 0.586
0.500 0.000 0.500
0.000 0.500 0.500
0.000 0.500 0.000
0.500 0.000 0.000
0.520 0.521 0.750
0.480 0.479 0.250
0.980 0.021 0.750
0.020 0.979 0.250
```

Properties
**Symmetry**: No. 62
**VASP energy**: -155.46 eV/cell
**Magnetic moment**: 0.00 μB/f.u.

***

[17]
The following is a PBE-GGA calculation of crystalline SrNbO3 at its relaxed geometry, from the Open Quantum Materials Database.

Structure (POSCAR):
```
SrNbO3
1.0
-3.460 -1.252 -4.288
-5.562 -0.433 0.892
-3.572 4.554 -2.170
Nb O Sr
2 6 2
direct
0.845 0.845 0.465
0.155 0.155 0.535
0.558 0.189 0.282
0.029 0.442 0.718
0.811 0.029 0.718
0.189 0.971 0.282
0.971 0.558 0.282
0.442 0.811 0.718
0.634 0.634 0.098
0.366 0.366 0.902
```

Properties
**Symmetry**: No. 148
**VASP energy**: -79.13 eV/cell
**Magnetic moment**: 1.00 μB/f.u.

***

[18]
The following is a PBE-GGA calculation of crystalline SrNbO3 at its relaxed geometry, from the Open Quantum Materials Database.

Structure (POSCAR):
```
SrNbO3
1.0
-2.096 0.588 -3.419
0.750 -3.823 -1.117
-3.387 -1.210 1.868
O Nb Sr
3 1 1
direct
0.500 0.500 0.000
0.500 0.000 0.500
0.000 0.500 0.500
0.500 0.500 0.500
0.000 0.000 0.000
```

Properties
**Symmetry**: No. 221
**VASP energy**: -40.41 eV/cell
**Magnetic moment**: 0.00 μB/f.u.